i.
Ag3HgP | Alexandria via LeMat-Bulk | PBE | optimized geometry; total magnetization = 0.000 μB per atom
1.0
4.867 0.000 0.000
0.000 4.867 0.000
0.000 0.000 4.867
P Hg Ag
1 1 3
Direct
0.000 0.000 0.000 P
0.500 0.500 0.500 Hg
0.000 0.500 0.000 Ag
0.000 0.000 0.500 Ag
0.500 0.000 0.000 Ag

ii.
Ag3HgP | Alexandria via LeMat-Bulk | PBE | optimized geometry; total magnetization = 0.000 μB per atom
1.0
5.158 0.000 0.000
0.000 5.158 0.000
0.000 0.000 5.158
P Hg Ag
1 1 3
Direct
0.500 0.500 0.500 P
0.000 0.000 0.000 Hg
0.000 0.500 0.000 Ag
0.000 0.000 0.500 Ag
0.500 0.000 0.000 Ag

According to the calculations, the structures order from most to least stable as i, ii.